The following is a DFT calculation (meta-GGA SCAN) of CuHPd3 at its PBEsol-relaxed geometry.

Total moment   0.006 μB per formula unit
Energy   -23.469 eV per atom
Fermi-level density of states   3.677 states/eV per cell

Unit cell a=3.8787 b=3.8787 c=3.8787 alpha=90.00 beta=90.00 gamma=90.00
Fractional coordinates of all 5 atoms:
Cu (0.0000, 0.0000, 0.0000)
H (0.5000, 0.5000, 0.5000)
Pd (0.0000, 0.5000, 0.5000)
Pd (0.5000, 0.0000, 0.5000)
Pd (0.5000, 0.5000, 0.0000)

***

The following is a DFT calculation (meta-GGA SCAN) of SiTe2 at its PBEsol-relaxed geometry.

Total moment   0.001 μB per formula unit
E_form (uncorrected)   92 meV/atom
Fermi-level density of states   1.526 states/eV per cell

Unit cell a=7.1528 b=7.1528 c=7.1528 alpha=30.27 beta=30.27 gamma=30.27
Fractional coordinates of all 3 atoms:
Si (0.0000, 0.0000, 0.0000)
Te (0.2535, 0.2535, 0.2535)
Te (0.7465, 0.7465, 0.7465)

***

The following is a DFT calculation (meta-GGA SCAN) of OsPb2Se at its PBEsol-relaxed geometry.

Total moment   0.000 μB per formula unit
E_form (uncorrected)   415 meV/atom
Fermi-level density of states   2.688 states/eV per cell

Unit cell a=4.4572 b=4.8210 c=4.8210 alpha=67.09 beta=90.00 gamma=90.00
Fractional coordinates of all 4 atoms:
Os (0.0000, 0.0000, 0.0000)
Pb (0.0000, 0.3930, 0.3930)
Pb (0.5000, 0.7646, 0.7646)
Se (0.5000, 0.1224, 0.1224)

***

The following is a DFT calculation (meta-GGA SCAN) of YTaBe2 at its PBEsol-relaxed geometry.

Total moment   1.263 μB per formula unit
Excess energy over the best structure of this formula in the dataset   731 meV/atom
Formation energy   0.844 eV/atom
Fermi-level density of states   6.526 states/eV per cell

Unit cell a=9.1048 b=9.1048 c=9.1048 alpha=153.46 beta=153.46 gamma=37.88
Fractional coordinates of all 8 atoms:
Y (0.0000, 0.0000, 0.0000)
Y (0.7500, 0.2500, 0.5000)
Ta (0.2500, 0.7500, 0.5000)
Ta (0.5000, 0.5000, 0.0000)
Be (0.3229, 0.1250, 0.6979)
Be (0.3750, 0.6771, 0.8021)
Be (0.4271, 0.6250, 0.3021)
Be (0.8750, 0.5729, 0.1979)

***

The following is a DFT calculation (meta-GGA SCAN) of AlC2 at its PBEsol-relaxed geometry.

Total moment   0.001 μB per formula unit
Excess energy over the best structure of this formula in the dataset   0 meV/atom
Formation energy   0.512 eV/atom
Fermi-level density of states   2.309 states/eV per cell

Unit cell a=3.0676 b=3.0676 c=7.4795 alpha=90.00 beta=90.00 gamma=120.00
Fractional coordinates of all 6 atoms:
Al (0.0000, 0.0000, 0.0000)
Al (0.0000, 0.0000, 0.5000)
C (0.3333, 0.6667, 0.1635)
C (0.3333, 0.6667, 0.3365)
C (0.6667, 0.3333, 0.6635)
C (0.6667, 0.3333, 0.8365)

***

The following is a DFT calculation (meta-GGA SCAN) of YAg2Rh at its PBEsol-relaxed geometry.

Total moment   0.000 μB per formula unit
Excess energy over the best structure of this formula in the dataset   229 meV/atom
Formation energy   -0.212 eV/atom
Fermi-level density of states   1.230 states/eV per cell

Unit cell a=3.1241 b=4.6816 c=5.2139 alpha=90.00 beta=105.43 gamma=90.00
Fractional coordinates of all 4 atoms:
Y (0.0000, 0.0000, 0.0000)
Ag (0.3353, 0.5000, 0.7283)
Ag (0.6647, 0.5000, 0.2717)
Rh (0.5000, 0.0000, 0.5000)

***

The following is a DFT calculation (meta-GGA SCAN) of KHF2 at its PBEsol-relaxed geometry.

Total moment   0.083 μB per formula unit
Energy   -7.110 eV per atom
Fermi-level density of states   0.000 states/eV per cell

Unit cell a=5.2068 b=5.2068 c=5.2068 alpha=115.12 beta=115.12 gamma=98.68
Fractional coordinates of all 8 atoms:
K (0.2500, 0.2500, 0.0000)
K (0.7500, 0.7500, 0.0000)
H (0.0000, 0.5000, 0.5000)
H (0.5000, 0.0000, 0.5000)
F (0.1453, 0.6453, 0.7906)
F (0.3547, 0.1453, 0.5000)
F (0.6453, 0.8547, 0.5000)
F (0.8547, 0.3547, 0.2094)

***

The following is a DFT calculation (meta-GGA SCAN) of SiTe2Au at its PBEsol-relaxed geometry.

Total moment   0.000 μB per formula unit
E_form (uncorrected)   267 meV/atom
Fermi-level density of states   2.100 states/eV per cell

Unit cell a=7.5508 b=7.5508 c=7.5508 alpha=153.15 beta=150.68 gamma=40.18
Fractional coordinates of all 4 atoms:
Si (0.0000, 0.0000, 0.0000)
Te (0.2782, 0.7782, 0.5000)
Te (0.5886, 0.5886, 0.0000)
Au (0.8724, 0.3724, 0.5000)

***

The following is a DFT calculation (meta-GGA SCAN) of LaY at its PBEsol-relaxed geometry.

Total moment   0.000 μB per formula unit
Excess energy over the best structure of this formula in the dataset   35 meV/atom
Formation energy   0.050 eV/atom
Fermi-level density of states   7.003 states/eV per cell

Unit cell a=6.2255 b=6.2255 c=6.2255 alpha=132.18 beta=132.18 gamma=69.94
Fractional coordinates of all 4 atoms:
La (0.3750, 0.6250, 0.7500)
La (0.6250, 0.3750, 0.2500)
Y (0.1250, 0.8750, 0.2500)
Y (0.8750, 0.1250, 0.7500)

***

The following is a DFT calculation (meta-GGA SCAN) of NbSbAsBr2 at its PBEsol-relaxed geometry.

Total moment   3.256 μB per formula unit
E_form (uncorrected)   861 meV/atom
Fermi-level density of states   1.808 states/eV per cell

Unit cell a=5.2831 b=5.2831 c=5.4283 alpha=90.00 beta=90.00 gamma=90.00
Fractional coordinates of all 5 atoms:
Nb (0.0000, 0.0000, 0.0000)
Sb (0.5000, 0.5000, 0.5000)
As (0.5000, 0.5000, 0.0000)
Br (0.0000, 0.5000, 0.5000)
Br (0.5000, 0.0000, 0.5000)

***

The following is a DFT calculation (meta-GGA SCAN) of LaSiHg4 at its PBEsol-relaxed geometry.

Total moment   0.000 μB per formula unit
E_form (uncorrected)   34 meV/atom
Fermi-level density of states   3.345 states/eV per cell

Unit cell a=5.8625 b=5.8625 c=5.8625 alpha=60.00 beta=60.00 gamma=60.00
Fractional coordinates of all 6 atoms:
La (0.0000, 0.0000, 0.0000)
Si (0.2500, 0.2500, 0.2500)
Hg (0.1260, 0.6247, 0.6247)
Hg (0.6247, 0.1260, 0.6247)
Hg (0.6247, 0.6247, 0.1260)
Hg (0.6247, 0.6247, 0.6247)

***

The following is a DFT calculation (meta-GGA SCAN) of SiMo2P at its PBEsol-relaxed geometry.

Total moment   0.000 μB per formula unit
E_form (uncorrected)   -438 meV/atom
Excess energy over the best structure of this formula in the dataset   0 meV/atom
Fermi-level density of states   1.970 states/eV per cell

Unit cell a=5.8932 b=5.8932 c=5.8932 alpha=148.23 beta=147.53 gamma=46.06
Fractional coordinates of all 4 atoms:
Si (0.0000, 0.0000, 0.0000)
Mo (0.3258, 0.8258, 0.5000)
Mo (0.5804, 0.5804, 0.0000)
P (0.7486, 0.2486, 0.5000)